CsAg4Au3F12 | Alexandria | PBE-GGA | optimized geometry; symmetry = Im-3, No. 204; total moment = 2.00 μB per cell; ΔE_f (raw) = -1.1827 eV per atom
1.0
-4.449 4.449 4.449
4.449 -4.449 4.449
4.449 4.449 -4.449
Cs Ag Au F
1 4 3 12
Direct
0.000 0.000 0.000 Cs
0.000 0.000 0.500 Ag
0.000 0.500 0.000 Ag
0.500 0.000 0.000 Ag
0.500 0.500 0.500 Ag
0.000 0.500 0.500 Au
0.500 0.000 0.500 Au
0.500 0.500 0.000 Au
0.161 0.328 0.489 F
0.161 0.672 0.833 F
0.167 0.839 0.328 F
0.328 0.167 0.839 F
0.328 0.489 0.161 F
0.489 0.161 0.328 F
0.511 0.839 0.672 F
0.672 0.511 0.839 F
0.672 0.833 0.161 F
0.833 0.161 0.672 F
0.839 0.328 0.167 F
0.839 0.672 0.511 F

Ce3In4Ag4 | Alexandria | PBE-GGA | optimized geometry; symmetry = Immm, No. 71; total moment = 3.87 μB per cell; ΔH_f (0 K) = -0.22 eV per atom
1.0
-2.309 3.786 7.831
2.309 -3.786 7.831
2.309 3.786 -7.831
Ce In Ag
3 4 4
Direct
0.000 0.000 0.000 Ce
0.375 0.875 0.500 Ce
0.625 0.125 0.500 Ce
0.030 0.331 0.698 In
0.367 0.669 0.698 In
0.633 0.331 0.302 In
0.970 0.669 0.302 In
0.217 0.217 0.000 Ag
0.314 0.500 0.814 Ag
0.686 0.500 0.186 Ag
0.783 0.783 0.000 Ag

KTiP2O7 | Alexandria | PBE-GGA | optimized geometry; symmetry = P2_1/c, No. 14; total moment = 4.00 μB per cell; ΔE_f (raw) = -2.4342 eV per atom
1.0
7.518 0.000 0.000
0.000 10.439 0.000
-2.369 0.000 7.950
K Ti P O
4 4 8 28
Direct
0.181 0.176 0.059 K
0.181 0.324 0.559 K
0.819 0.676 0.441 K
0.819 0.824 0.941 K
0.236 0.602 0.260 Ti
0.236 0.898 0.760 Ti
0.764 0.102 0.240 Ti
0.764 0.398 0.740 Ti
0.133 0.598 0.826 P
0.133 0.902 0.326 P
0.444 0.639 0.690 P
0.444 0.861 0.190 P
0.556 0.139 0.810 P
0.556 0.361 0.310 P
0.867 0.098 0.674 P
0.867 0.402 0.174 P
0.004 0.004 0.224 O
0.004 0.496 0.724 O
0.078 0.732 0.754 O
0.078 0.768 0.254 O
0.150 0.591 0.014 O
0.150 0.909 0.514 O
0.324 0.611 0.510 O
0.324 0.889 0.010 O
0.339 0.564 0.810 O
0.339 0.936 0.310 O
0.363 0.080 0.771 O
0.363 0.420 0.271 O
0.456 0.719 0.238 O
0.456 0.781 0.738 O
0.544 0.219 0.262 O
0.544 0.281 0.762 O
0.637 0.580 0.729 O
0.637 0.920 0.229 O
0.661 0.064 0.690 O
0.661 0.436 0.190 O
0.676 0.111 0.990 O
0.676 0.389 0.490 O
0.850 0.091 0.486 O
0.850 0.409 0.986 O
0.922 0.232 0.746 O
0.922 0.268 0.246 O
0.996 0.504 0.276 O
0.996 0.996 0.776 O

LaSmScAl | Alexandria | PBE-GGA | optimized geometry; symmetry = F-43m, No. 216; total moment = 1.03 μB per cell; ΔH_f (0 K) = -0.10 eV per atom
1.0
0.000 3.804 3.804
3.804 0.000 3.804
3.804 3.804 0.000
La Sm Sc Al
1 1 1 1
Direct
0.000 0.000 0.000 La
0.500 0.500 0.500 Sm
0.750 0.750 0.750 Sc
0.250 0.250 0.250 Al

CeGdN | Alexandria | PBE-GGA | optimized geometry; symmetry = I4mm, No. 107; total moment = 8.46 μB per cell; ΔE_f (raw) = 0.1209 eV per atom; energy above the most stable polymorph in this dataset = 3.16 eV/f.u.
1.0
-2.379 2.379 3.895
2.379 -2.379 3.895
2.379 2.379 -3.895
Ce Gd N
1 1 1
Direct
0.000 0.000 0.000 Ce
0.523 0.523 0.000 Gd
0.257 0.257 0.000 N

Na2GeAs2 | Alexandria | PBE-GGA | optimized geometry; symmetry = I4/mmm, No. 139; total moment = 0.00 μB per cell; energy above the most stable polymorph in this dataset = 2.02 eV/f.u.; ΔH_f (0 K) = 0.10 eV per atom
1.0
-2.210 2.210 6.034
2.210 -2.210 6.034
2.210 2.210 -6.034
Na Ge As
2 1 2
Direct
0.250 0.750 0.500 Na
0.750 0.250 0.500 Na
0.000 0.000 0.000 Ge
0.403 0.403 0.000 As
0.597 0.597 0.000 As

Pm3Ho3Sc5 | Alexandria | PBE-GGA | optimized geometry; symmetry = P-62m, No. 189; total moment = 0.00 μB per cell; ΔH_f (0 K) = 0.77 eV per atom
1.0
8.901 0.000 0.000
-4.450 7.708 0.000
0.000 0.000 5.543
Pm Ho Sc
3 3 5
Direct
0.000 0.649 0.000 Pm
0.351 0.351 0.000 Pm
0.649 0.000 0.000 Pm
0.000 0.388 0.500 Ho
0.388 0.000 0.500 Ho
0.612 0.612 0.500 Ho
0.000 0.763 0.500 Sc
0.237 0.237 0.500 Sc
0.333 0.667 0.500 Sc
0.667 0.333 0.500 Sc
0.763 0.000 0.500 Sc

ZrFeP | Alexandria | PBE-GGA | optimized geometry; symmetry = F-43m, No. 216; total moment = 1.00 μB per cell; ΔH_f (0 K) = -0.60 eV per atom
1.0
0.000 2.876 2.876
2.876 0.000 2.876
2.876 2.876 0.000
Zr Fe P
1 1 1
Direct
0.000 0.000 0.000 Zr
0.250 0.250 0.250 Fe
0.500 0.500 0.500 P